Run A
## CrGaI2O (GGA+U)

Data for crystalline CrGaI2O at its relaxed geometry.

a = 5.886 Å, b = 5.886 Å, c = 3.742 Å
α = 90.00°, β = 90.00°, γ = 90.00°
Space group P4/mmm (No. 123)
Asymmetric unit:
1 Cr 0.000 0.000 0.000
2 Ga 0.500 0.500 0.500
3 I 0.000 0.500 0.000
4 O 0.000 0.000 0.500

Properties
The value obtained for the total magnetic moment is 0.599 μB per atom. As for the calculated volume: 25.93 A^3/atom. The calculation puts the calculated density at 5.015 Mg/m³. As for the crystal system: tetragonal.


Run B
## CrGaI2O (GGA+U)

Data for crystalline CrGaI2O at its relaxed geometry.

a = 5.820 Å, b = 5.820 Å, c = 3.654 Å
α = 90.00°, β = 90.00°, γ = 90.00°
Space group P4/mmm (No. 123)
Asymmetric unit:
1 Cr 0.000 0.000 0.000
2 Ga 0.500 0.500 0.500
3 I 0.000 0.500 0.500
4 O 0.500 0.500 0.000

Properties
The value obtained for the total magnetic moment is 0.980 μB per atom. As for the calculated volume: 24.76 A^3/atom. The calculation puts the calculated density at 5.252 Mg/m³. As for the crystal system: tetragonal.


Which is more stable than every other structure shown? run A is more stable than every other one.